SrPmTm2Se4 | PBE | relaxed

Geometry as POSCAR:
```
SrPmTm2Se4
1.0
4.118 0.000 0.000
0.000 7.230 -0.183
0.000 2.506 6.744
Se Sr Tm Pm
4 1 2 1
Direct
0.000 0.769 0.746
0.500 0.771 0.240
0.000 0.231 0.254
0.500 0.229 0.760
0.000 0.500 0.500
0.500 0.000 0.500
0.000 0.000 0.000
0.500 0.500 0.000
```

raw formation energy = -1.786 eV per atom
Fermi-level density of states = 3.2 states/eV per cell
magnetization = 0.00 μB/cell